First-principles (PBE with a Hubbard U) data for a relaxed structure of NbV2O8, as listed in Alexandria via LeMat-Bulk.

Lattice parameters (Å, degrees): 5.411 5.411 3.609 95.75 95.75 112.67
Fractional positions:
Nb  0.000  0.000  0.000
V  0.319  0.681  0.500
V  0.681  0.319  0.500
O  0.057  0.312  0.547
O  0.242  0.758  0.000
O  0.312  0.057  0.547
O  0.392  0.392  0.182
O  0.608  0.608  0.818
O  0.688  0.943  0.453
O  0.758  0.242  0.000
O  0.943  0.688  0.453

Values from the calculation:
raw total energy: -0.26668 Ha/atom
density: 5.6 g cm⁻³
size of the total moment: 0.97 μB per formula unit
SG: C2/m (12)